1.
Density functional theory data (PBE-GGA) for a relaxed RbTmS2 crystal.

Space group: R-3m, No. 166
Total DFT energy (no corrections) in eV for the cell shown: -63.3
Calculated density in Mg/m³: 4.9

Cell: 4.028 4.028 23.013 Å, 90.00 90.00 120.00°
Sites, in units of the cell vectors:
Rb 0.000 0.000 0.000
Rb 0.333 0.667 0.667
Rb 0.667 0.333 0.333
Tm 0.000 0.000 0.500
Tm 0.333 0.667 0.167
Tm 0.667 0.333 0.833
S 0.000 0.000 0.230
S 0.000 0.000 0.770
S 0.333 0.667 0.437
S 0.333 0.667 0.897
S 0.667 0.333 0.103
S 0.667 0.333 0.563



2.
Density functional theory data (PBE-GGA) for a relaxed Cs3CaCe2Te6 crystal.

Space group: C2/m, No. 12
Total DFT energy (no corrections) in eV for the cell shown: -51.5
Calculated density in Mg/m³: 4.9

Cell: 8.118 8.118 9.278 Å, 98.37 98.37 120.00°
Sites, in units of the cell vectors:
Cs 0.000 0.000 0.000
Cs 0.336 0.664 0.000
Cs 0.664 0.336 0.000
Ca 0.500 0.500 0.500
Ce 0.167 0.833 0.500
Ce 0.833 0.167 0.500
Te 0.095 0.436 0.308
Te 0.222 0.222 0.690
Te 0.436 0.095 0.308
Te 0.564 0.905 0.692
Te 0.778 0.778 0.310
Te 0.905 0.564 0.692



Number 1: ΔE_f (raw) -1852 meV/atom. Number 2: ΔE_f (raw) -1351 meV/atom.